! AlCdGa | Alexandria via LeMat-Bulk | GGA-PBE | optimized geometry; values from VASP
! ΔE_f, eV/atom: 0.09
! Space group: P1, No. 1
! DOS(E_F), states/eV per cell: 2.147
! ΔE to the lowest computed polymorph, meV/atom: 39.6
! VASP energy, eV/atom: -2.467
&SYSTEM
  ibrav = 0, nat = 6, ntyp = 3
/
ATOMIC_SPECIES
Al 26.98 Al.upf
Cd 112.41 Cd.upf
Ga 69.72 Ga.upf
CELL_PARAMETERS angstrom
4.1974 0.0000 0.0000
-2.0354 4.6570 0.0000
-0.0008 -1.9778 6.0338
ATOMIC_POSITIONS crystal
Al 0.0000 0.0000 0.0000
Al 0.3314 0.6625 0.1442
Cd 0.3344 0.6720 0.6384
Cd 0.6679 0.3324 0.8078
Ga 0.6609 0.3242 0.2873
Ga 0.9939 0.9906 0.4480


! AlCd2Ga6 | Alexandria via LeMat-Bulk | GGA-PBE | optimized geometry; values from VASP
! ΔE_f, eV/atom: 0.07
! Space group: P-31m, No. 162
! DOS(E_F), states/eV per cell: 2.953
! VASP energy, eV/atom: -2.566
&SYSTEM
  ibrav = 0, nat = 9, ntyp = 3
/
ATOMIC_SPECIES
Al 26.98 Al.upf
Cd 112.41 Cd.upf
Ga 69.72 Ga.upf
CELL_PARAMETERS angstrom
8.4487 0.0000 0.0000
-4.2244 7.3168 0.0000
0.0000 0.0000 2.9327
ATOMIC_POSITIONS crystal
Al 0.0000 0.0000 0.0000
Cd 0.3333 0.6667 0.5000
Cd 0.6667 0.3333 0.5000
Ga 0.0000 0.3179 0.7366
Ga 0.0000 0.6821 0.2634
Ga 0.3179 0.0000 0.7366
Ga 0.3179 0.3179 0.2634
Ga 0.6821 0.0000 0.2634
Ga 0.6821 0.6821 0.7366


! AlCdGa | Alexandria via LeMat-Bulk | GGA-PBE | optimized geometry; values from VASP
! ΔE_f, eV/atom: 0.53
! Space group: P6_3/mmc, No. 194
! DOS(E_F), states/eV per cell: 3.720
! ΔE to the lowest computed polymorph, meV/atom: 471.9
! VASP energy, eV/atom: -2.035
&SYSTEM
  ibrav = 0, nat = 6, ntyp = 3
/
ATOMIC_SPECIES
Al 26.98 Al.upf
Cd 112.41 Cd.upf
Ga 69.72 Ga.upf
CELL_PARAMETERS angstrom
4.6596 0.0000 0.0000
-2.3298 4.0353 0.0000
0.0000 0.0000 10.0155
ATOMIC_POSITIONS crystal
Al 0.0000 0.0000 0.2500
Al 0.0000 0.0000 0.7500
Cd 0.3333 0.6667 0.2500
Cd 0.6667 0.3333 0.7500
Ga 0.0000 0.0000 0.0000
Ga 0.0000 0.0000 0.5000


! Al2CdGa | Alexandria via LeMat-Bulk | GGA-PBE | optimized geometry; values from VASP
! ΔE_f, eV/atom: 0.12
! Space group: R-3m, No. 166
! DOS(E_F), states/eV per cell: 4.183
! VASP energy, eV/atom: -2.736
&SYSTEM
  ibrav = 0, nat = 12, ntyp = 3
/
ATOMIC_SPECIES
Al 26.98 Al.upf
Cd 112.41 Cd.upf
Ga 69.72 Ga.upf
CELL_PARAMETERS angstrom
2.8795 0.0000 0.0000
-1.4398 2.4938 0.0000
0.0000 0.0000 32.9047
ATOMIC_POSITIONS crystal
Al 0.0000 0.0000 0.0929
Al 0.0000 0.0000 0.9071
Al 0.3333 0.6667 0.5738
Al 0.3333 0.6667 0.7595
Al 0.6667 0.3333 0.2405
Al 0.6667 0.3333 0.4262
Cd 0.0000 0.0000 0.0000
Cd 0.3333 0.6667 0.6667
Cd 0.6667 0.3333 0.3333
Ga 0.0000 0.0000 0.5000
Ga 0.3333 0.6667 0.1667
Ga 0.6667 0.3333 0.8333


! AlCdGa | Alexandria via LeMat-Bulk | GGA-PBE | optimized geometry; values from VASP
! ΔE_f, eV/atom: 0.07
! Space group: Amm2, No. 38
! DOS(E_F), states/eV per cell: 3.190
! ΔE to the lowest computed polymorph, meV/atom: 16.7
! VASP energy, eV/atom: -2.490
&SYSTEM
  ibrav = 0, nat = 12, ntyp = 3
/
ATOMIC_SPECIES
Al 26.98 Al.upf
Cd 112.41 Cd.upf
Ga 69.72 Ga.upf
CELL_PARAMETERS angstrom
15.2991 0.0000 0.0000
0.0000 2.9764 0.0000
0.0000 0.0000 5.1555
ATOMIC_POSITIONS crystal
Al 0.1554 0.0000 0.0000
Al 0.1554 0.5000 0.5000
Al 0.8446 0.0000 0.0000
Al 0.8446 0.5000 0.5000
Cd 0.3233 0.0000 0.6654
Cd 0.3233 0.5000 0.1654
Cd 0.6767 0.0000 0.6654
Cd 0.6767 0.5000 0.1654
Ga 0.0000 0.0000 0.3326
Ga 0.0000 0.5000 0.8326
Ga 0.5000 0.0000 0.3204
Ga 0.5000 0.5000 0.8204


! Al2CdGa | Alexandria via LeMat-Bulk | GGA-PBE | optimized geometry; values from VASP
! ΔE_f, eV/atom: 0.16
! Space group: P4/mmm, No. 123
! DOS(E_F), states/eV per cell: 1.612
! VASP energy, eV/atom: -2.695
&SYSTEM
  ibrav = 0, nat = 4, ntyp = 3
/
ATOMIC_SPECIES
Al 26.98 Al.upf
Cd 112.41 Cd.upf
Ga 69.72 Ga.upf
CELL_PARAMETERS angstrom
3.4709 0.0000 0.0000
0.0000 3.4709 0.0000
0.0000 0.0000 6.4070
ATOMIC_POSITIONS crystal
Al 0.0000 0.0000 0.2277
Al 0.0000 0.0000 0.7723
Cd 0.5000 0.5000 0.5000
Ga 0.5000 0.5000 0.0000


! Al2CdGa6 | Alexandria via LeMat-Bulk | GGA-PBE | optimized geometry; values from VASP
! ΔE_f, eV/atom: 0.04
! Space group: P-6m2, No. 187
! DOS(E_F), states/eV per cell: 4.680
! ΔE to the lowest computed polymorph, meV/atom: 0.0
! VASP energy, eV/atom: -2.911
&SYSTEM
  ibrav = 0, nat = 9, ntyp = 3
/
ATOMIC_SPECIES
Al 26.98 Al.upf
Cd 112.41 Cd.upf
Ga 69.72 Ga.upf
CELL_PARAMETERS angstrom
2.9628 0.0000 0.0000
-1.4814 2.5659 0.0000
0.0000 0.0000 22.3635
ATOMIC_POSITIONS crystal
Al 0.0000 0.0000 0.1636
Al 0.0000 0.0000 0.8364
Cd 0.6667 0.3333 0.5000
Ga 0.0000 0.0000 0.3797
Ga 0.0000 0.0000 0.6203
Ga 0.6667 0.3333 0.0589
Ga 0.6667 0.3333 0.2696
Ga 0.6667 0.3333 0.7304
Ga 0.6667 0.3333 0.9411


! AlCdGa | Alexandria via LeMat-Bulk | GGA-PBE | optimized geometry; values from VASP
! ΔE_f, eV/atom: 0.09
! Space group: P1, No. 1
! DOS(E_F), states/eV per cell: 2.418
! ΔE to the lowest computed polymorph, meV/atom: 32.6
! VASP energy, eV/atom: -2.474
&SYSTEM
  ibrav = 0, nat = 6, ntyp = 3
/
ATOMIC_SPECIES
Al 26.98 Al.upf
Cd 112.41 Cd.upf
Ga 69.72 Ga.upf
CELL_PARAMETERS angstrom
2.9545 0.0000 0.0000
-0.2700 5.9918 0.0000
-1.4069 -2.7367 6.8129
ATOMIC_POSITIONS crystal
Al 0.0000 0.0000 0.0000
Al 0.3938 0.1678 0.7538
Cd 0.1003 0.5552 0.1258
Cd 0.6830 0.2001 0.3723
Ga 0.3701 0.6058 0.7536
Ga 0.7640 0.7730 0.5020


! Al4CdGa7 | Alexandria via LeMat-Bulk | GGA-PBE | optimized geometry; values from VASP
! ΔE_f, eV/atom: 0.05
! Space group: P-3m1, No. 164
! DOS(E_F), states/eV per cell: 3.485
! VASP energy, eV/atom: -3.043
&SYSTEM
  ibrav = 0, nat = 12, ntyp = 3
/
ATOMIC_SPECIES
Al 26.98 Al.upf
Cd 112.41 Cd.upf
Ga 69.72 Ga.upf
CELL_PARAMETERS angstrom
3.1697 0.0000 0.0000
-1.5849 2.7451 0.0000
0.0000 0.0000 25.6465
ATOMIC_POSITIONS crystal
Al 0.3333 0.6667 0.1763
Al 0.3333 0.6667 0.4200
Al 0.6667 0.3333 0.5800
Al 0.6667 0.3333 0.8237
Cd 0.0000 0.0000 0.0000
Ga 0.0000 0.0000 0.2583
Ga 0.0000 0.0000 0.5000
Ga 0.0000 0.0000 0.7417
Ga 0.3333 0.6667 0.6606
Ga 0.3333 0.6667 0.9053
Ga 0.6667 0.3333 0.0947
Ga 0.6667 0.3333 0.3394


! AlCdGa | Alexandria via LeMat-Bulk | GGA-PBE | optimized geometry; values from VASP
! ΔE_f, eV/atom: 0.07
! Space group: P1, No. 1
! DOS(E_F), states/eV per cell: 2.250
! ΔE to the lowest computed polymorph, meV/atom: 18.5
! VASP energy, eV/atom: -2.488
&SYSTEM
  ibrav = 0, nat = 6, ntyp = 3
/
ATOMIC_SPECIES
Al 26.98 Al.upf
Cd 112.41 Cd.upf
Ga 69.72 Ga.upf
CELL_PARAMETERS angstrom
2.9405 0.0000 0.0000
0.0000 5.5635 0.0000
-0.0006 -1.0591 7.4087
ATOMIC_POSITIONS crystal
Al 0.0000 0.0000 0.0000
Al 0.5000 0.3004 0.2728
Cd 0.0033 0.3930 0.6142
Cd 0.5033 0.9021 0.6588
Ga 0.4952 0.8012 0.2756
Ga 0.9949 0.4990 0.9972


! AlCdGa | Alexandria via LeMat-Bulk | GGA-PBE | optimized geometry; values from VASP
! ΔE_f, eV/atom: 0.11
! Space group: Pnma, No. 62
! DOS(E_F), states/eV per cell: 4.818
! ΔE to the lowest computed polymorph, meV/atom: 58.1
! VASP energy, eV/atom: -2.449
&SYSTEM
  ibrav = 0, nat = 12, ntyp = 3
/
ATOMIC_SPECIES
Al 26.98 Al.upf
Cd 112.41 Cd.upf
Ga 69.72 Ga.upf
CELL_PARAMETERS angstrom
5.9151 0.0000 0.0000
0.0000 4.4301 0.0000
0.0000 0.0000 8.9858
ATOMIC_POSITIONS crystal
Al 0.1149 0.2500 0.2401
Al 0.3851 0.7500 0.7401
Al 0.6149 0.2500 0.2599
Al 0.8851 0.7500 0.7599
Cd 0.1282 0.2500 0.5806
Cd 0.3718 0.7500 0.0806
Cd 0.6282 0.2500 0.9194
Cd 0.8718 0.7500 0.4194
Ga 0.1236 0.2500 0.9114
Ga 0.3764 0.7500 0.4114
Ga 0.6236 0.2500 0.5886
Ga 0.8764 0.7500 0.0886


! Al3CdGa | Alexandria via LeMat-Bulk | GGA-PBE | optimized geometry; values from VASP
! ΔE_f, eV/atom: 0.52
! Space group: Pm-3m, No. 221
! DOS(E_F), states/eV per cell: 1.687
! ΔE to the lowest computed polymorph, meV/atom: 0.0
! VASP energy, eV/atom: -2.514
&SYSTEM
  ibrav = 0, nat = 5, ntyp = 3
/
ATOMIC_SPECIES
Al 26.98 Al.upf
Cd 112.41 Cd.upf
Ga 69.72 Ga.upf
CELL_PARAMETERS angstrom
4.9200 0.0000 0.0000
0.0000 4.9200 0.0000
0.0000 0.0000 4.9200
ATOMIC_POSITIONS crystal
Al 0.0000 0.0000 0.5000
Al 0.0000 0.5000 0.0000
Al 0.5000 0.0000 0.0000
Cd 0.5000 0.5000 0.5000
Ga 0.0000 0.0000 0.0000


! AlCd2Ga2 | Alexandria via LeMat-Bulk | GGA-PBE | optimized geometry; values from VASP
! ΔE_f, eV/atom: 0.12
! Space group: P4/mbm, No. 127
! DOS(E_F), states/eV per cell: 4.026
! ΔE to the lowest computed polymorph, meV/atom: 73.8
! VASP energy, eV/atom: -2.210
&SYSTEM
  ibrav = 0, nat = 10, ntyp = 3
/
ATOMIC_SPECIES
Al 26.98 Al.upf
Cd 112.41 Cd.upf
Ga 69.72 Ga.upf
CELL_PARAMETERS angstrom
6.8713 0.0000 0.0000
0.0000 6.8713 0.0000
0.0000 0.0000 4.4768
ATOMIC_POSITIONS crystal
Al 0.0000 0.0000 0.0000
Al 0.5000 0.5000 0.0000
Cd 0.1762 0.3238 0.5000
Cd 0.3238 0.8238 0.5000
Cd 0.6762 0.1762 0.5000
Cd 0.8238 0.6762 0.5000
Ga 0.1354 0.6354 0.0000
Ga 0.3646 0.1354 0.0000
Ga 0.6354 0.8646 0.0000
Ga 0.8646 0.3646 0.0000